Entry 1:
Computed, not measured: TlIn2GaSe4 at its PBEsol-relaxed geometry at the SCAN level of DFT.

The structure in extended XYZ format:
```
8
Lattice="-6.503 -0.673 0.588 -2.680 -5.909 0.235 3.759 0.310 5.285" Properties=species:S:1:pos:R:3 pbc="T T T"
Tl 0.000 0.000 0.000
In -2.712 -3.136 3.054
In -3.252 -0.336 0.294
Ga 0.539 -2.800 2.760
Se -4.638 -3.316 1.300
Se -4.292 -3.319 5.126
Se -1.155 -1.044 2.924
Se -0.764 -4.865 2.868
```

Results
Volume (Å³ per cell): 206
Raw formation energy (eV per atom): -0.5507
Space-group type: I222

=====

Entry 2:
Computed, not measured: In3GaSi at its PBEsol-relaxed geometry at the SCAN level of DFT.

The structure in extended XYZ format:
```
5
Lattice="5.135 0.000 0.000 0.000 5.135 0.000 0.000 0.000 5.135" Properties=species:S:1:pos:R:3 pbc="T T T"
Si 0.000 0.000 0.000
Ga 2.568 2.568 2.568
In 0.000 2.568 0.000
In 0.000 0.000 2.568
In 2.568 0.000 0.000
```

Results
Volume (Å³ per cell): 135
Raw formation energy (eV per atom): 0.5622
Space-group type: Pm-3m

=====

Entry 3:
Computed, not measured: In2Ga2Sn at its PBEsol-relaxed geometry at the SCAN level of DFT.

The structure in extended XYZ format:
```
10
Lattice="3.183 0.000 0.000 0.000 8.459 0.000 0.000 0.000 8.459" Properties=species:S:1:pos:R:3 pbc="T T T"
Sn 0.000 0.000 0.000
Sn 0.000 4.230 4.230
Ga 1.592 1.271 5.501
Ga 1.592 5.501 7.188
Ga 1.592 7.188 2.958
Ga 1.592 2.958 1.271
In 0.000 2.980 7.210
In 0.000 7.210 5.479
In 0.000 5.479 1.249
In 0.000 1.249 2.980
```

Results
Distance to the lowest polymorph of the same formula (eV/atom): 0.0261
Energy relative to the elements (eV per atom): 0.151
Volume (Å³ per cell): 228
Space-group type: P4/mbm

=====

Entry 4:
Computed, not measured: In2Ga2Sn at its PBEsol-relaxed geometry at the SCAN level of DFT.

The structure in extended XYZ format:
```
5
Lattice="-2.566 -2.292 -1.559 2.685 -1.526 -2.175 1.431 -3.681 7.631" Properties=species:S:1:pos:R:3 pbc="T T T"
Sn 0.000 0.000 0.000
Ga 2.088 -3.558 1.795
Ga -0.537 -3.941 2.102
In 1.172 -4.396 4.533
In 0.378 -3.103 -0.636
```

Results
Distance to the lowest polymorph of the same formula (eV/atom): 0.0000
Energy relative to the elements (eV per atom): 0.125
Volume (Å³ per cell): 117
Space-group type: I4/mmm

=====

Respective calculated density values: 6.6, 5.4, 7.1, 7.0 g cm⁻³.
Respective magnetic moment values: 0.00, 0.00, 0.00, 0.00 μB per formula unit.